Model i:
NdPd4Pt: optimized geometry, PBE.

Cell and atoms, written as POSCAR:
```
NdPd4Pt
1.0
7.666 0.000 0.000
0.000 4.208 0.000
0.000 0.000 6.930
Nd Pd Pt
2 8 2
Cartesian
1.916 0.000 1.090
5.749 0.000 5.840
0.000 0.000 3.465
0.274 2.104 5.553
1.916 2.104 3.258
3.559 2.104 5.553
3.833 0.000 3.465
4.107 2.104 1.377
5.749 2.104 3.672
7.392 2.104 1.377
1.916 0.000 5.263
5.749 0.000 1.667
```

Symmetry: No. 51

Model ii:
NdPd4Pt: optimized geometry, PBE.

Cell and atoms, written as POSCAR:
```
NdPd4Pt
1.0
0.000 3.779 3.779
3.779 0.000 3.779
3.779 3.779 0.000
Nd Pd Pt
1 4 1
Cartesian
0.000 0.000 0.000
2.841 2.841 2.841
4.717 4.717 2.841
4.717 2.841 4.717
2.841 4.717 4.717
5.668 5.668 5.668
```

Symmetry: No. 216

Which structure is the least stable? The one labeled model i.